(1)
Entry from the Alexandria database: a geometry-optimized CsNpAs structure (PBE-GGA).

Calculated values
For the volume, the calculation gives 30.9 Å³ per atom. As for the total energy: -6.3343 eV per atom. Its energy of formation is -0.186 eV per atom. As for the crystal system: tetragonal. The value obtained for the theoretical density is 7.96 g/cm³.

Geometry as CIF:
```
data_CsNpAs
_chemical_formula_sum 'Cs2 Np2 As2'
_symmetry_space_group_name_H-M 'P 1'
_symmetry_Int_Tables_number 1
_symmetry_space_group_name_Hall 'P 1'
_cell_length_a 14.751
_cell_length_b 14.751
_cell_length_c 14.751
_cell_angle_alpha 166.09
_cell_angle_beta 166.09
_cell_angle_gamma 19.72
loop_
_atom_site_label
_atom_site_type_symbol
_atom_site_fract_x
_atom_site_fract_y
_atom_site_fract_z
Cs1 Cs 0.088 0.088 0.000
Cs2 Cs 0.912 0.912 0.000
Np1 Np 0.232 0.232 0.000
Np2 Np 0.768 0.768 0.000
As1 As 0.326 0.326 0.000
As2 As 0.674 0.674 0.000
```

***

(2)
Entry from the Alexandria database: a geometry-optimized CsNpAsO5 structure (PBE-GGA).

Calculated values
For the volume, the calculation gives 20.3 Å³ per atom. Its raw formation energy is -2.115 eV/atom. As for the total energy: -7.5195 eV per atom. As for the crystal system: monoclinic. The value obtained for the theoretical density is 5.36 g/cm³.

Geometry as CIF:
```
data_CsNpAsO5
_chemical_formula_sum 'Cs2 Np2 As2 O10'
_symmetry_space_group_name_H-M 'P 1'
_symmetry_Int_Tables_number 1
_symmetry_space_group_name_Hall 'P 1'
_cell_length_a 6.606
_cell_length_b 6.606
_cell_length_c 8.039
_cell_angle_alpha 96.38
_cell_angle_beta 96.38
_cell_angle_gamma 109.24
loop_
_atom_site_label
_atom_site_type_symbol
_atom_site_fract_x
_atom_site_fract_y
_atom_site_fract_z
Cs1 Cs 0.146 0.854 0.750
Cs2 Cs 0.854 0.146 0.250
Np1 Np 0.500 0.500 0.000
Np2 Np 0.500 0.500 0.500
As1 As 0.203 0.797 0.250
As2 As 0.797 0.203 0.750
O1 O 0.214 0.311 0.975
O2 O 0.219 0.621 0.389
O3 O 0.311 0.214 0.475
O4 O 0.379 0.781 0.111
O5 O 0.437 0.563 0.750
O6 O 0.563 0.437 0.250
O7 O 0.621 0.219 0.889
O8 O 0.689 0.786 0.525
O9 O 0.781 0.379 0.611
O10 O 0.786 0.689 0.025
```